Entry 1:
! YHoTl, optimized geometry, DFT PBE-GGA; values from VASP
&SYSTEM
  ibrav = 0, nat = 6, ntyp = 3
/
ATOMIC_SPECIES
Ho 164.93 Ho.upf
Y 88.91 Y.upf
Tl 204.38 Tl.upf
CELL_PARAMETERS angstrom
-3.1354 -4.4086 -0.0063
1.8994 1.9767 -4.6638
5.4468 -3.8745 0.5762
ATOMIC_POSITIONS crystal
Ho 0.0000 0.5000 0.0000
Ho 0.0000 0.5000 0.5000
Y 0.3332 0.1668 0.7500
Y 0.6668 0.8332 0.2500
Tl 0.6665 0.8335 0.7500
Tl 0.3335 0.1665 0.2500
! calculated formation energy	-0.276	eV per atom
! final energy	-4.745	eV per atom
! excess energy over the best structure of this formula in the dataset	0.245	kcal/mol of atoms
! crystal system	hexagonal


Entry 2:
! NpBeSi2Ni, optimized geometry, DFT PBE-GGA; values from VASP
&SYSTEM
  ibrav = 0, nat = 5, ntyp = 4
/
ATOMIC_SPECIES
Si 28.09 Si.upf
Be 9.01 Be.upf
Np 237.00 Np.upf
Ni 58.69 Ni.upf
CELL_PARAMETERS angstrom
-2.3127 2.9711 0.8686
-1.0386 -1.7662 3.2761
5.3616 1.5809 0.2733
ATOMIC_POSITIONS crystal
Si 0.3772 0.3772 0.7545
Si 0.6228 0.6228 0.2455
Be 0.2500 0.7500 0.5000
Np 0.0000 0.0000 0.0000
Ni 0.7500 0.2500 0.5000
! final energy	-7.076	eV per atom
! formation energy from raw total energies	-0.417	eV per atom
! crystal system	tetragonal


Entry 3:
! Ba3ReMo, optimized geometry, DFT PBE-GGA; values from VASP
&SYSTEM
  ibrav = 0, nat = 5, ntyp = 3
/
ATOMIC_SPECIES
Ba 137.33 Ba.upf
Mo 95.94 Mo.upf
Re 186.21 Re.upf
CELL_PARAMETERS angstrom
-0.6241 0.8371 -5.8579
5.0945 -2.9205 -0.9601
-3.0102 -5.1162 -0.4104
ATOMIC_POSITIONS crystal
Ba 0.5000 0.0000 0.0000
Ba 0.0000 0.0000 0.5000
Ba 0.0000 0.5000 0.0000
Mo 0.5000 0.5000 0.5000
Re 0.0000 0.0000 0.0000
! calculated formation energy	1.460	eV per atom
! final energy	-4.350	eV per atom
! excess energy over the best structure of this formula in the dataset	0.000	kcal/mol of atoms
! crystal system	cubic


Entry 4:
! Ba4AsPt, optimized geometry, DFT PBE-GGA; values from VASP
&SYSTEM
  ibrav = 0, nat = 12, ntyp = 3
/
ATOMIC_SPECIES
Ba 137.33 Ba.upf
As 74.92 As.upf
Pt 195.08 Pt.upf
CELL_PARAMETERS angstrom
7.0199 0.0014 3.4633
-1.3542 7.2098 2.7413
-0.4111 0.4944 9.6758
ATOMIC_POSITIONS crystal
Ba 0.6007 0.5998 0.7482
Ba 0.8989 0.3488 0.2523
Ba 0.6510 0.0998 0.7482
Ba 0.3993 0.4002 0.2518
Ba 0.8489 0.8488 0.2523
Ba 0.1511 0.1512 0.7477
Ba 0.1011 0.6512 0.7477
Ba 0.3490 0.9002 0.2518
As 0.2498 0.7500 0.0000
As 0.7502 0.2500 0.0000
Pt 0.5000 0.5000 0.5000
Pt 0.0000 0.0000 0.5000
! calculated formation energy	-0.687	eV per atom
! final energy	-3.750	eV per atom
! excess energy over the best structure of this formula in the dataset	0.000	kcal/mol of atoms
! crystal system	monoclinic


Entry 5:
! CeBiAu4, optimized geometry, DFT PBE-GGA; values from VASP
&SYSTEM
  ibrav = 0, nat = 6, ntyp = 3
/
ATOMIC_SPECIES
Au 196.97 Au.upf
Ce 140.12 Ce.upf
Bi 208.98 Bi.upf
CELL_PARAMETERS angstrom
4.9049 0.0000 0.0000
-2.4525 4.2478 0.0000
0.0000 0.0000 6.4981
ATOMIC_POSITIONS crystal
Au 0.3333 0.6667 0.7580
Au 0.6667 0.3333 0.2420
Au 0.6667 0.3333 0.7580
Au 0.3333 0.6667 0.2420
Ce 0.0000 0.0000 0.0000
Bi 0.0000 0.0000 0.5000
! calculated formation energy	-0.412	eV per atom
! final energy	-4.232	eV per atom
! excess energy over the best structure of this formula in the dataset	0.000	kcal/mol of atoms
! crystal system	hexagonal


Entry 6:
! CsHg6Au, optimized geometry, DFT PBE-GGA; values from VASP
&SYSTEM
  ibrav = 0, nat = 8, ntyp = 3
/
ATOMIC_SPECIES
Hg 200.59 Hg.upf
Cs 132.91 Cs.upf
Au 196.97 Au.upf
CELL_PARAMETERS angstrom
-2.0146 6.6144 3.3233
-7.1053 2.7444 -0.9147
-4.5918 0.5157 5.0447
ATOMIC_POSITIONS crystal
Hg 0.5315 0.1250 0.2185
Hg 0.1250 0.5315 0.2185
Hg 0.8750 0.8750 0.7815
Hg 0.1250 0.1250 0.2185
Hg 0.8750 0.4685 0.7815
Hg 0.4685 0.8750 0.7815
Cs 0.5000 0.5000 0.5000
Au 0.0000 0.0000 0.0000
! calculated formation energy	-0.129	eV per atom
! final energy	-0.871	eV per atom
! excess energy over the best structure of this formula in the dataset	0.000	kcal/mol of atoms
! crystal system	trigonal


Entry 7:
! MgGa2CoHg, optimized geometry, DFT PBE-GGA; values from VASP
&SYSTEM
  ibrav = 0, nat = 5, ntyp = 4
/
ATOMIC_SPECIES
Hg 200.59 Hg.upf
Ga 69.72 Ga.upf
Co 58.93 Co.upf
Mg 24.30 Mg.upf
CELL_PARAMETERS angstrom
-1.2747 2.8712 -3.3071
-2.1444 -3.4124 -2.1361
-4.1528 1.0417 2.5050
ATOMIC_POSITIONS crystal
Hg 0.5000 0.5000 0.5000
Ga 0.0000 0.5000 0.0000
Ga 0.5000 0.0000 0.0000
Co 0.0000 0.0000 0.0000
Mg 0.0000 0.0000 0.5000
! calculated formation energy	-0.057	eV per atom
! final energy	-3.068	eV per atom
! crystal system	tetragonal


Entry 8:
! Rb6SeBr2Cl2, optimized geometry, DFT PBE-GGA; values from VASP
&SYSTEM
  ibrav = 0, nat = 11, ntyp = 4
/
ATOMIC_SPECIES
Rb 85.47 Rb.upf
Se 78.96 Se.upf
Br 79.90 Br.upf
Cl 35.45 Cl.upf
CELL_PARAMETERS angstrom
8.5091 -0.0029 0.0672
-4.2082 7.3956 0.0672
-1.5584 -2.6787 8.0234
ATOMIC_POSITIONS crystal
Rb 0.6008 0.9502 0.2814
Rb 0.2339 0.2339 0.2734
Rb 0.3992 0.0498 0.7186
Rb 0.7661 0.7661 0.7266
Rb 0.0498 0.3992 0.7186
Rb 0.9502 0.6008 0.2814
Se 0.0000 0.0000 0.5000
Br 0.8261 0.1739 0.0000
Br 0.1739 0.8261 0.0000
Cl 0.3414 0.6586 0.5000
Cl 0.6586 0.3414 0.5000
! final energy	-3.071	eV per atom
! formation energy from raw total energies	-1.587	eV per atom
! crystal system	monoclinic